# 1
Below is crystalline LiIrPd2 at its relaxed geometry, with properties calculated at the PBE-GGA level.

abc: 4.7116 4.7116 2.7210
angles: 90.00 90.00 108.27
Element x y z (fractional)
Li: 0.0000 0.0000 0.0000
Ir: 0.5000 0.5000 0.0000
Pd: 0.0000 0.5000 0.5000
Pd: 0.5000 0.0000 0.5000

Symmetry = Cmmm, No. 65
Energy relative to the elements = -0.2079 eV/atom
Total DFT energy (no corrections) = -5.498 eV/atom
E above lowest polymorph = 0.0 kJ per mole of atoms

# 2
Below is crystalline LiPr2IrPd at its relaxed geometry, with properties calculated at the PBE-GGA level.

abc: 4.1612 4.1612 13.8113
angles: 90.00 90.00 90.00
Element x y z (fractional)
Li: 0.2500 0.7500 0.0000
Li: 0.7500 0.2500 0.0000
Pr: 0.2500 0.2500 0.1953
Pr: 0.2500 0.2500 0.6109
Pr: 0.7500 0.7500 0.3891
Pr: 0.7500 0.7500 0.8047
Ir: 0.2500 0.2500 0.3937
Ir: 0.7500 0.7500 0.6063
Pd: 0.2500 0.2500 0.8650
Pd: 0.7500 0.7500 0.1350

Symmetry = P4/nmm, No. 129
Energy relative to the elements = -0.5262 eV/atom
Total DFT energy (no corrections) = -5.632 eV/atom